(1)
Here is an optimized crystal structure of NaGdHgTe3 from OQMD. Energies are from PBE-GGA.

- SG: Pnma (62)

a b c (Å): 8.9786 4.5060 18.6345
angles (deg): 90.00 90.00 90.00
Closest atoms and distances in Å follow each position.
Atoms (fractional coordinates):
Te 0.3011 0.7500 0.2078  2 Hg 2.80-2.97
Te 0.6989 0.2500 0.7922  2 Hg 2.80-2.97
Te 0.3736 0.2500 0.9348  3 Gd 3.08-3.14, 2 Na 3.30
Te 0.1264 0.7500 0.4348  3 Gd 3.08-3.14, 2 Na 3.30
Te 0.9898 0.7500 0.9274  2 Hg 2.90
Te 0.8736 0.2500 0.5652  3 Gd 3.08-3.14, 2 Na 3.30
Te 0.5102 0.2500 0.4274  2 Hg 2.90
Te 0.6264 0.7500 0.0652  3 Gd 3.08-3.14, 2 Na 3.30
Te 0.1989 0.2500 0.7078  2 Hg 2.80-2.97
Te 0.0102 0.2500 0.0726  2 Hg 2.90
Te 0.8011 0.7500 0.2922  2 Hg 2.80-2.97
Te 0.4898 0.7500 0.5726  2 Hg 2.90
Gd 0.2814 0.7500 0.0381  7 Te 3.08-3.38
Gd 0.2186 0.2500 0.5381  7 Te 3.08-3.38
Gd 0.7814 0.7500 0.4619  7 Te 3.08-3.38
Gd 0.7186 0.2500 0.9619  7 Te 3.08-3.38
Na 0.6110 0.2500 0.1945  6 Te 3.30-3.59, 2 Hg 3.59
Na 0.1110 0.2500 0.3055  6 Te 3.30-3.59, 2 Hg 3.59
Na 0.3890 0.7500 0.8055  6 Te 3.30-3.59, 2 Hg 3.59
Na 0.8890 0.7500 0.6945  6 Te 3.30-3.59, 2 Hg 3.59
Hg 0.0200 0.2500 0.8305  4 Te 2.80-2.97
Hg 0.4800 0.7500 0.3305  4 Te 2.80-2.97
Hg 0.5200 0.2500 0.6695  4 Te 2.80-2.97
Hg 0.9800 0.7500 0.1695  4 Te 2.80-2.97



(2)
Here is an optimized crystal structure of NaGdHgTe3 from OQMD. Energies are from PBE-GGA.

- SG: P2_1/m (11)

a b c (Å): 8.6990 4.4352 10.6387
angles (deg): 90.00 104.30 90.00
Closest atoms and distances in Å follow each position.
Atoms (fractional coordinates):
Na 0.2785 0.7500 0.2434  4 Te 3.24-3.36
Na 0.7215 0.2500 0.7566  4 Te 3.24-3.36
Hg 0.5920 0.2500 0.1081  4 Te 2.80-3.11
Hg 0.4080 0.7500 0.8919  4 Te 2.80-3.11
Te 0.4328 0.7500 0.6342  1 Hg 2.80
Te 0.0671 0.2500 0.3466  3 Gd 3.09, 2 Na 3.24
Te 0.9329 0.7500 0.6534  3 Gd 3.09, 2 Na 3.24
Te 0.5672 0.2500 0.3658  1 Hg 2.80
Te 0.7657 0.7500 0.0372  3 Hg 2.89-3.11
Te 0.2343 0.2500 0.9628  3 Hg 2.89-3.11
Gd 0.8214 0.7500 0.3543  6 Te 3.09-3.29
Gd 0.1786 0.2500 0.6457  6 Te 3.09-3.29



(3)
Here is an optimized crystal structure of NaGdHgTe3 from OQMD. Energies are from PBE-GGA.

- SG: Pnma (62)

a b c (Å): 11.7362 4.4077 14.9369
angles (deg): 90.00 90.00 90.00
Closest atoms and distances in Å follow each position.
Atoms (fractional coordinates):
Te 0.0662 0.2500 0.8947  1 Hg 2.82, 2 Gd 3.13
Te 0.2594 0.7500 0.6557  2 Hg 2.88
Te 0.5457 0.7500 0.1104  1 Hg 2.83, 2 Gd 3.13
Te 0.9338 0.7500 0.1053  1 Hg 2.82, 2 Gd 3.13
Te 0.4543 0.2500 0.8896  1 Hg 2.83, 2 Gd 3.13
Te 0.2406 0.2500 0.1557  2 Hg 2.88
Te 0.4338 0.7500 0.3947  1 Hg 2.82, 2 Gd 3.13
Te 0.0457 0.7500 0.3896  1 Hg 2.83, 2 Gd 3.13
Te 0.7594 0.7500 0.8443  2 Hg 2.88
Te 0.7406 0.2500 0.3443  2 Hg 2.88
Te 0.9543 0.2500 0.6103  1 Hg 2.83, 2 Gd 3.13
Te 0.5662 0.2500 0.6053  1 Hg 2.82, 2 Gd 3.13
Na 0.7346 0.2500 0.0233  6 Te 3.39-3.48, 2 Hg 3.67
Na 0.7654 0.7500 0.5233  6 Te 3.39-3.48, 2 Hg 3.67
Na 0.2654 0.7500 0.9767  6 Te 3.39-3.48, 2 Hg 3.67
Na 0.2346 0.2500 0.4767  6 Te 3.39-3.48, 2 Hg 3.67
Hg 0.7426 0.7500 0.2200  4 Te 2.82-2.88
Hg 0.2574 0.2500 0.7800  4 Te 2.82-2.88
Hg 0.7574 0.2500 0.7200  4 Te 2.82-2.88
Hg 0.2426 0.7500 0.2800  4 Te 2.82-2.88
Gd 0.0098 0.7500 0.7528  6 Te 3.13-3.27
Gd 0.9902 0.2500 0.2472  6 Te 3.13-3.27
Gd 0.5098 0.7500 0.7472  6 Te 3.13-3.27
Gd 0.4902 0.2500 0.2528  6 Te 3.13-3.27



(4)
Here is an optimized crystal structure of NaGdHgTe3 from OQMD. Energies are from PBE-GGA.

- SG: C2/m (12)

a b c (Å): 10.4273 10.4273 9.1409
angles (deg): 102.61 102.61 24.13
Closest atoms and distances in Å follow each position.
Atoms (fractional coordinates):
Te 0.5000 0.5000 0.5000  2 Hg 2.85
Te 0.6704 0.6704 0.8535  3 Gd 3.05-3.06, 2 Na 3.29
Te 0.0000 0.0000 0.0000  4 Hg 2.99
Te 0.3149 0.3149 0.6593  1 Hg 2.83, 2 Gd 3.13
Te 0.3296 0.3296 0.1465  3 Gd 3.05-3.06, 2 Na 3.29
Te 0.6851 0.6851 0.3407  1 Hg 2.83, 2 Gd 3.13
Gd 0.8233 0.8233 0.9081  5 Te 3.05-3.13
Gd 0.1767 0.1767 0.0919  5 Te 3.05-3.13
Na 0.8763 0.8763 0.4191  6 Te 3.29-3.52
Na 0.1237 0.1237 0.5809  6 Te 3.29-3.52
Hg 0.4559 0.4559 0.7750  4 Te 2.83-2.99
Hg 0.5441 0.5441 0.2250  4 Te 2.83-2.99



no.,uncorrected energy (Ry per atom)
1,-0.25193
2,-0.25586
3,-0.25634
4,-0.25198